Entry from the Alexandria database: an optimized crystal structure of CaZn2Ag2 (PBE-GGA).

Properties
**Space-group type**: I4/mmm
**Raw total energy**: -2.25 eV per atom
**Energy above the most stable polymorph in this dataset**: 0.0000 eV per atom

Geometry as POSCAR:
```
CaZn2Ag2
1.0
4.270 0.000 0.000
0.000 4.270 0.000
2.135 2.135 5.672
Ca Zn Ag
1 2 2
Cartesian
0.000 0.000 0.000
2.135 2.135 1.232
4.270 4.270 4.440
4.270 2.135 2.836
2.135 4.270 2.836
```